{"formula": "Y3BW", "functional": "PBE-GGA", "state": "relaxed", "ef_ev_per_atom": 0.66, "volume_a3_per_cell": 121.7, "sg": "No. 221", "polymorph_energy_mev_per_atom": 0.0, "cell": [[4.955, 0.000, 0.000], [0.000, 4.955, 0.000], [0.000, 0.000, 4.955]], "species": ["Y", "Y", "Y", "B", "W"], "frac_coords": [[0.000, 0.000, 0.500], [0.000, 0.500, 0.000], [0.500, 0.000, 0.000], [0.000, 0.000, 0.000], [0.500, 0.500, 0.500]]}

---

{"formula": "YB6W2", "functional": "PBE-GGA", "state": "relaxed", "ef_ev_per_atom": -0.30, "volume_a3_per_cell": 87.2, "sg": "No. 191", "cell": [[5.371, 0.000, 0.000], [-2.685, 4.651, 0.000], [0.000, 0.000, 3.491]], "species": ["Y", "B", "B", "B", "B", "B", "B", "W", "W"], "frac_coords": [[0.000, 0.000, 0.000], [0.000, 0.340, 0.500], [0.000, 0.660, 0.500], [0.340, 0.000, 0.500], [0.340, 0.340, 0.500], [0.660, 0.000, 0.500], [0.660, 0.660, 0.500], [0.333, 0.667, 0.000], [0.667, 0.333, 0.000]]}

---

{"formula": "YBW3", "functional": "PBE-GGA", "state": "relaxed", "ef_ev_per_atom": 0.37, "volume_a3_per_cell": 83.5, "sg": "No. 221", "polymorph_energy_mev_per_atom": 0.0, "cell": [[4.371, 0.000, 0.000], [0.000, 4.371, 0.000], [0.000, 0.000, 4.371]], "species": ["Y", "B", "W", "W", "W"], "frac_coords": [[0.000, 0.000, 0.000], [0.500, 0.500, 0.500], [0.000, 0.500, 0.500], [0.500, 0.000, 0.500], [0.500, 0.500, 0.000]]}